[1]
Below is crystalline Li5Eu3Br12 at its relaxed geometry, with properties calculated at the GGA-PBE level.

Lattice parameters (Å, degrees): 16.4952 16.4952 16.4952 90.00 90.00 90.00
With the nearest neighbours (Å) after each atom.
Space group Ia-3d (No. 230)
One atom of each set of equivalent atoms:
Li 0.0000 0.0000 0.0000  6 Br 2.75
Li 0.0000 0.2500 0.3750  4 Br 2.49
Eu 0.0000 0.2500 0.1250  8 Br 3.16-3.17
Br 0.0277 0.0618 0.6524  2 Li 2.49-2.75

Summary:
- total DFT energy (no corrections) (eV/atom) = -4.737
- E_form (uncorrected) (kJ per mole of atoms) = -165

=====

[2]
Below is crystalline Ce2AlNi3Ge4 at its relaxed geometry, with properties calculated at the GGA-PBE level.

Lattice parameters (Å, degrees): 4.1272 4.1272 10.0728 90.00 90.00 90.00
With the nearest neighbours (Å) after each atom.
Space group P-4m2 (No. 115)
One atom of each set of equivalent atoms:
Ce 0.0000 0.5000 0.2397  8 Ge 3.14-3.18, 6 Ni 3.15-3.34, 2 Al 3.34
Al 0.0000 0.0000 0.5000  4 Ge 2.53
Ni 0.0000 0.5000 0.8788  5 Ge 2.35-2.40
Ni 0.5000 0.5000 0.5000  4 Ge 2.53
Ge 0.0000 0.0000 0.0000  4 Ni 2.40
Ge 0.0000 0.5000 0.6459  3 Ni 2.35-2.53, 2 Al 2.53
Ge 0.5000 0.5000 0.0000  4 Ni 2.40

Summary:
- DFT formation energy (meV/atom) = -670
- total DFT energy (no corrections) (eV/atom) = -5.813

=====

[3]
Below is crystalline LaNd3Pd8 at its relaxed geometry, with properties calculated at the GGA-PBE level.

Lattice parameters (Å, degrees): 5.5528 5.5528 9.0445 90.00 90.00 120.00
With the nearest neighbours (Å) after each atom.
Space group P3m1 (No. 156)
One atom of each set of equivalent atoms:
La 0.0000 0.0000 0.0000  12 Pd 3.25-3.27, 4 Nd 3.38-3.42
Nd 0.0000 0.0000 0.3736  12 Pd 3.23-3.25, 1 La 3.38, 3 Nd 3.40
Nd 0.6667 0.3333 0.4978  12 Pd 3.24-3.26, 4 Nd 3.36-3.40
Nd 0.6667 0.3333 0.8689  12 Pd 3.24-3.28, 1 Nd 3.36, 3 La 3.42
Pd 0.1654 0.3308 0.6840  6 Pd 2.76-2.80
Pd 0.3333 0.6667 0.4344  6 Pd 2.77-2.78
Pd 0.3333 0.6667 0.9348  6 Pd 2.79
Pd 0.5017 0.0033 0.1859  6 Pd 2.75-2.80

Summary:
- DFT formation energy (meV/atom) = -741
- total DFT energy (no corrections) (eV/atom) = -5.805

=====

[4]
Below is crystalline TbNd3Hg4 at its relaxed geometry, with properties calculated at the GGA-PBE level.

Lattice parameters (Å, degrees): 3.8030 3.8030 15.3353 90.00 90.00 90.00
With the nearest neighbours (Å) after each atom.
Space group P4/mmm (No. 123)
One atom of each set of equivalent atoms:
Tb 0.0000 0.0000 0.0000  8 Hg 3.22
Nd 0.0000 0.0000 0.2462  8 Hg 3.33-3.35
Nd 0.0000 0.0000 0.5000  8 Hg 3.31
Hg 0.5000 0.5000 0.1158  4 Tb 3.22, 4 Nd 3.35, 1 Hg 3.55
Hg 0.5000 0.5000 0.3738  8 Nd 3.31-3.33

Summary:
- energy above the most stable polymorph in this dataset (eV/atom) = 0.000
- DFT formation energy (meV/atom) = -474
- total DFT energy (no corrections) (eV/atom) = -2.991

=====

[5]
Below is crystalline KHgRh at its relaxed geometry, with properties calculated at the GGA-PBE level.

Lattice parameters (Å, degrees): 6.8172 6.8172 6.8172 90.00 90.00 90.00
With the nearest neighbours (Å) after each atom.
Space group F-43m (No. 216)
One atom of each set of equivalent atoms:
K 0.0000 0.0000 0.0000  4 Rh 2.95
Hg 0.0000 0.0000 0.5000  4 Rh 2.95
Rh 0.2500 0.2500 0.2500  4 Hg 2.95, 4 K 2.95

Summary:
- energy above the most stable polymorph in this dataset (eV/atom) = 0.336
- DFT formation energy (meV/atom) = 525
- total DFT energy (no corrections) (eV/atom) = -2.392

=====

[6]
Below is crystalline LaTbHoZr at its relaxed geometry, with properties calculated at the GGA-PBE level.

Lattice parameters (Å, degrees): 7.8495 7.8495 7.8495 90.00 90.00 90.00
With the nearest neighbours (Å) after each atom.
Space group F-43m (No. 216)
One atom of each set of equivalent atoms:
La 0.0000 0.0000 0.0000  4 Tb 3.40, 4 Ho 3.40
Tb 0.2500 0.2500 0.7500  4 Zr 3.40, 4 La 3.40
Ho 0.2500 0.2500 0.2500  4 Zr 3.40, 4 La 3.40
Zr 0.0000 0.0000 0.5000  4 Tb 3.40, 4 Ho 3.40

Summary:
- DFT formation energy (meV/atom) = 226
- total DFT energy (no corrections) (eV/atom) = -5.445

=====

[7]
Below is crystalline CaRu2Au at its relaxed geometry, with properties calculated at the GGA-PBE level.

Lattice parameters (Å, degrees): 3.9973 3.9973 9.0521 90.00 90.00 90.00
With the nearest neighbours (Å) after each atom.
Space group I4/mmm (No. 139)
One atom of each set of equivalent atoms:
Ca 0.0000 0.0000 0.0000  4 Au 2.83, 8 Ru 3.02
Ru 0.0000 0.5000 0.2500  4 Ru 2.83, 4 Ca 3.02, 4 Au 3.02
Au 0.0000 0.0000 0.5000  4 Ca 2.83, 8 Ru 3.02

Summary:
- energy above the most stable polymorph in this dataset (eV/atom) = 0.294
- DFT formation energy (meV/atom) = 393
- total DFT energy (no corrections) (eV/atom) = -5.564

=====

[8]
Below is crystalline Tc2OsSe at its relaxed geometry, with properties calculated at the GGA-PBE level.

Lattice parameters (Å, degrees): 2.9589 4.4863 4.5178 90.00 90.00 90.00
With the nearest neighbours (Å) after each atom.
Space group Pmmm (No. 47)
One atom of each set of equivalent atoms:
Tc 0.0000 0.0000 0.0000  6 Tc 2.69-2.96, 4 Se 2.70
Tc 0.5000 0.5000 0.0000  6 Tc 2.69-2.96, 4 Os 2.70
Os 0.0000 0.5000 0.5000  4 Se 2.69, 4 Tc 2.70, 2 Os 2.96
Se 0.5000 0.0000 0.5000  4 Os 2.69, 4 Tc 2.70, 2 Se 2.96

Summary:
- total DFT energy (no corrections) (eV/atom) = -8.316
- E_form (uncorrected) (kJ per mole of atoms) = 53

=====

[9]
Below is crystalline Mg2BeNi2 at its relaxed geometry, with properties calculated at the GGA-PBE level.

Lattice parameters (Å, degrees): 5.7016 5.7016 4.1972 90.00 90.00 90.00
With the nearest neighbours (Å) after each atom.
Space group P4/mbm (No. 127)
One atom of each set of equivalent atoms:
Mg 0.1721 0.3279 0.0000  6 Ni 2.57-2.77, 1 Mg 2.78
Be 0.0000 0.0000 0.5000  4 Ni 2.19
Ni 0.1449 0.6449 0.5000  2 Be 2.19, 1 Ni 2.34

Summary:
- energy above the most stable polymorph in this dataset (eV/atom) = 0.000
- DFT formation energy (meV/atom) = -156
- total DFT energy (no corrections) (eV/atom) = -3.851

=====

[10]
Below is crystalline AlB3As at its relaxed geometry, with properties calculated at the GGA-PBE level.

Lattice parameters (Å, degrees): 4.1726 4.1726 4.1726 90.00 90.00 90.00
With the nearest neighbours (Å) after each atom.
Space group Pm-3m (No. 221)
One atom of each set of equivalent atoms:
Al 0.0000 0.0000 0.0000  6 B 2.09
B 0.0000 0.0000 0.5000  2 Al 2.09
As 0.5000 0.5000 0.5000  12 B 2.95

Summary:
- energy above the most stable polymorph in this dataset (eV/atom) = 0.068
- DFT formation energy (meV/atom) = 1854
- total DFT energy (no corrections) (eV/atom) = -3.831

=====

[11]
Below is crystalline SrVH at its relaxed geometry, with properties calculated at the GGA-PBE level.

Lattice parameters (Å, degrees): 4.1888 5.5059 6.0751 112.65 100.34 103.97
With the nearest neighbours (Å) after each atom.
Space group P1 (No. 1)
One atom of each set of equivalent atoms:
Sr 0.0000 0.0000 0.0000  2 H 2.47-2.73
Sr 0.3129 0.3546 0.6675  2 H 2.41-2.45
V 0.4603 0.7403 0.3188  1 V 1.91, 1 H 1.96
V 0.8324 0.5999 0.3405  2 H 1.80-1.94, 1 V 1.91
H 0.0134 0.5193 0.0588  2 V 1.94-1.96
H 0.8606 0.5573 0.6213  1 V 1.80

Summary:
- energy above the most stable polymorph in this dataset (eV/atom) = 0.074
- total DFT energy (no corrections) (eV/atom) = -4.523

=====

[12]
Below is crystalline NbAsN2 at its relaxed geometry, with properties calculated at the GGA-PBE level.

Lattice parameters (Å, degrees): 3.1055 3.1055 19.5021 90.00 90.00 120.00
With the nearest neighbours (Å) after each atom.
Space group R-3m (No. 166, hexagonal axes)
One atom of each set of equivalent atoms:
Nb 0.0000 0.0000 0.0000  6 N 2.12
As 0.0000 0.0000 0.5000  2 N 2.11
N 0.0000 0.0000 0.3918  1 As 2.11, 3 Nb 2.12

Summary:
- total DFT energy (no corrections) (eV/atom) = -8.085
- E_form (uncorrected) (kJ per mole of atoms) = -23

=====

Question: total DFT energy (no corrections) of number 10 (AlB3As)?
Answer: -3.831 eV/atom

=====

Question: Among the records above, which one has the lowest total DFT energy (no corrections)?
Answer: Tc2OsSe